Record 1
4
Lattice="4.410 0.000 0.000 0.000 4.410 0.000 0.000 0.000 3.135" Properties=species:S:1:pos:R:3 comment="TaV2W, optimized geometry, DFT GGA-PBE" m_tot_mub_per_atom=0.0000 formation_energy_ev_per_fu=-0.1 rho_g_cm3=12.71 dft_energy_ev_per_cell=-43.118 pbc="T T T"
Ta 0.000 0.000 0.000
V 0.000 2.205 1.568
V 2.205 0.000 1.568
W 2.205 2.205 0.000


Record 2
6
Lattice="4.987 0.000 0.000 0.000 3.792 0.000 -1.109 0.000 5.914" Properties=species:S:1:pos:R:3 comment="NaCoRu, optimized geometry, DFT GGA-PBE" m_tot_mub_per_atom=0.2686 formation_energy_ev_per_fu=1.6 rho_g_cm3=5.43 dft_energy_ev_per_cell=-32.236 polymorph_energy_mev_per_atom=132 pbc="T T T"
Na 0.000 0.000 0.000
Na 1.427 1.896 5.061
Co 1.031 1.896 2.131
Co 2.226 0.000 2.860
Ru -0.215 0.000 3.010
Ru 3.478 1.896 2.101


Record 3
22
Lattice="8.018 -3.190 0.000 8.018 3.190 0.000 -5.909 0.000 14.667" Properties=species:S:1:pos:R:3 comment="La2Sm7Tm2, optimized geometry, DFT GGA-PBE" m_tot_mub_per_atom=0.0000 formation_energy_ev_per_fu=0.3 rho_g_cm3=7.39 dft_energy_ev_per_cell=-103.004 polymorph_energy_mev_per_atom=0 pbc="T T T"
La 2.731 2.121 7.671
La 4.440 2.121 14.328
La 5.686 -2.121 0.338
La 7.395 -2.121 6.995
Sm 5.245 2.123 4.987
Sm 4.409 1.052 1.706
Sm 7.835 2.123 2.346
Sm 1.035 1.050 13.622
Sm 3.586 1.077 11.000
Sm 6.137 1.050 8.378
Sm 1.455 -1.052 9.039
Sm 8.671 1.052 5.628
Sm 3.989 -1.050 6.288
Sm 6.540 -1.077 3.667
Sm 9.091 -1.050 1.045
Sm 2.291 -2.123 12.320
Sm 5.717 -1.052 12.961
Sm 4.881 -2.123 9.679
Tm 1.905 1.054 4.299
Tm -1.049 -1.054 11.632
Tm 11.175 1.054 3.034
Tm 8.221 -1.054 10.368


Record 4
6
Lattice="0.000 3.723 3.723 3.723 0.000 3.723 3.723 3.723 0.000" Properties=species:S:1:pos:R:3 comment="HoScRh4, optimized geometry, DFT GGA-PBE" m_tot_mub_per_atom=0.0000 formation_energy_ev_per_fu=-4.3 rho_g_cm3=10.00 dft_energy_ev_per_cell=-44.619 polymorph_energy_mev_per_atom=0 pbc="T T T"
Ho 0.000 0.000 0.000
Sc 5.585 5.585 5.585
Rh 2.794 2.794 2.794
Rh 4.652 4.652 2.794
Rh 4.652 2.794 4.652
Rh 2.794 4.652 4.652


Record 5
10
Lattice="7.420 0.000 0.000 0.000 4.436 0.000 -3.033 0.000 8.699" Properties=species:S:1:pos:R:3 comment="Ba2ZnAgN, optimized geometry, DFT GGA-PBE" m_tot_mub_per_atom=0.0000 raw_formation_energy_ev_per_atom=-0.2912 rho_g_cm3=5.36 dft_energy_ev_per_cell=-35.504 polymorph_energy_mev_per_atom=0 pbc="T T T"
Ba 0.269 1.109 3.283
Ba -1.420 1.109 8.364
Ba 5.807 3.327 0.335
Ba 4.118 3.327 5.416
Zn 2.587 3.327 2.194
Zn 1.800 1.109 6.505
Ag 0.428 3.327 6.077
Ag 3.959 1.109 2.622
N 0.770 3.327 1.481
N 3.617 1.109 7.217


Record 6
7
Lattice="2.528 -11.362 0.000 2.528 11.362 0.000 0.000 0.000 3.339" Properties=species:S:1:pos:R:3 comment="Tb3Mg2Zr2, optimized geometry, DFT GGA-PBE" m_tot_mub_per_atom=0.0000 formation_energy_ev_per_fu=0.3 rho_g_cm3=6.13 dft_energy_ev_per_cell=-33.888 pbc="T T T"
Tb 0.000 0.000 0.000
Tb 2.528 7.913 0.000
Tb 2.528 -7.913 0.000
Mg 2.528 1.688 1.669
Mg 2.528 -1.688 1.669
Zr 2.528 5.073 1.669
Zr 2.528 -5.073 1.669


Record 7
11
Lattice="7.467 0.000 0.000 3.566 6.594 0.000 3.419 2.047 7.298" Properties=species:S:1:pos:R:3 comment="KGe2Sb2Au6, optimized geometry, DFT GGA-PBE" m_tot_mub_per_atom=0.0000 raw_formation_energy_ev_per_atom=-0.0189 rho_g_cm3=7.44 dft_energy_ev_per_cell=-38.449 pbc="T T T"
K 0.000 0.000 0.000
Ge 6.179 3.701 3.865
Ge 8.272 4.940 3.433
Sb 3.786 2.248 1.138
Sb 10.665 6.394 6.160
Au 5.394 4.903 5.960
Au 6.866 2.443 5.962
Au 6.080 3.644 1.335
Au 8.371 4.998 5.963
Au 7.585 6.198 1.336
Au 9.057 3.738 1.338


Record 8
4
Lattice="3.065 -4.121 0.000 3.065 4.121 0.000 0.000 0.000 3.409" Properties=species:S:1:pos:R:3 comment="HgAu2Br, optimized geometry, DFT GGA-PBE" m_tot_mub_per_atom=0.0000 raw_formation_energy_ev_per_atom=0.3287 rho_g_cm3=13.01 dft_energy_ev_per_cell=-7.215 polymorph_energy_mev_per_atom=312 pbc="T T T"
Hg 0.000 0.000 0.000
Au 1.532 2.060 1.704
Au 1.532 -2.060 1.704
Br 3.065 0.000 0.000


Record 9
5
Lattice="4.476 0.000 0.000 0.000 4.476 0.000 0.000 0.000 4.476" Properties=species:S:1:pos:R:3 comment="Ge3PO, optimized geometry, DFT GGA-PBE" m_tot_mub_per_atom=0.0000 raw_formation_energy_ev_per_atom=0.1653 rho_g_cm3=4.91 dft_energy_ev_per_cell=-23.393 polymorph_energy_mev_per_atom=0 pbc="T T T"
Ge 0.000 0.000 2.238
Ge 0.000 2.238 0.000
Ge 2.238 0.000 0.000
P 2.238 2.238 2.238
O 0.000 0.000 0.000


Record 10
10
Lattice="0.000 4.485 7.654 2.967 0.000 7.654 2.967 4.485 0.000" Properties=species:S:1:pos:R:3 comment="Sc3CdCo, optimized geometry, DFT GGA-PBE" m_tot_mub_per_atom=0.0000 formation_energy_ev_per_fu=-1.2 rho_g_cm3=4.99 dft_energy_ev_per_cell=-56.498 polymorph_energy_mev_per_atom=0 pbc="T T T"
Sc 2.967 2.742 5.902
Sc 2.967 4.485 3.111
Sc 2.967 2.742 9.407
Sc 2.967 6.229 5.902
Sc 2.967 4.485 12.197
Sc 2.967 6.229 9.407
Cd 4.614 4.485 7.654
Cd 1.320 4.485 7.654
Co 1.484 2.243 3.827
Co 4.451 6.728 11.481


Record 11
12
Lattice="9.036 -2.028 0.000 9.036 2.028 0.000 -2.199 0.000 8.062" Properties=species:S:1:pos:R:3 comment="Pr2YTm3Se6, optimized geometry, DFT GGA-PBE" m_tot_mub_per_atom=0.0000 raw_formation_energy_ev_per_atom=-1.7446 rho_g_cm3=7.59 dft_energy_ev_per_cell=-71.280 pbc="T T T"
Pr 2.304 0.000 2.710
Pr 13.569 0.000 5.352
Y 9.036 0.000 0.000
Tm 1.238 0.000 6.724
Tm 7.936 0.000 4.031
Tm 14.635 0.000 1.338
Se -1.542 0.000 6.029
Se 3.973 0.000 7.513
Se 5.245 0.000 3.255
Se 10.628 0.000 4.806
Se 11.899 0.000 0.548
Se 17.414 0.000 2.033


Record 12
8
Lattice="4.201 0.000 0.000 0.000 4.201 0.000 0.000 0.000 8.524" Properties=species:S:1:pos:R:3 comment="AcTcPF, optimized geometry, DFT GGA-PBE" m_tot_mub_per_atom=0.0000 raw_formation_energy_ev_per_atom=-1.9889 rho_g_cm3=8.28 dft_energy_ev_per_cell=-59.423 pbc="T T T"
Ac 1.050 1.050 1.654
Ac 3.151 3.151 6.870
Tc 1.050 3.151 4.262
Tc 3.151 1.050 4.262
P 1.050 1.050 5.406
P 3.151 3.151 3.118
F 1.050 3.151 0.000
F 3.151 1.050 0.000